VASP calculation (PBE with a Hubbard U) on an optimized crystal structure of MnNbN2O.

Cell and atoms, written as POSCAR:
```
MnNbN2O
1.0
4.074 0.000 0.000
0.000 4.074 0.000
0.000 0.000 3.991
Mn Nb N O
1 1 2 1
Direct
0.000 0.000 0.000
0.500 0.500 0.500
0.000 0.500 0.500
0.500 0.000 0.500
0.500 0.500 0.000
```

Calculated values
Crystal system ... tetragonal
Final energy ... -41.011 eV for the cell shown

VASP calculation (PBE with a Hubbard U) on an optimized crystal structure of MnNbN2O.

Cell and atoms, written as POSCAR:
```
MnNbN2O
1.0
3.779 0.000 0.000
0.000 3.779 0.000
0.000 0.000 3.621
Mn Nb N O
1 1 2 1
Direct
0.000 0.000 0.000
0.500 0.500 0.500
0.000 0.500 0.000
0.500 0.000 0.000
0.000 0.000 0.500
```

Calculated values
Crystal system ... tetragonal
Final energy ... -38.345 eV for the cell shown

VASP calculation (PBE with a Hubbard U) on an optimized crystal structure of MnNbNO2.

Cell and atoms, written as POSCAR:
```
MnNbNO2
1.0
3.687 0.000 0.000
0.000 3.687 0.000
0.000 0.000 3.909
Mn Nb N O
1 1 1 2
Direct
0.000 0.000 0.000
0.500 0.500 0.500
0.000 0.000 0.500
0.000 0.500 0.000
0.500 0.000 0.000
```

Calculated values
Crystal system ... tetragonal
Final energy ... -37.676 eV for the cell shown

VASP calculation (PBE with a Hubbard U) on an optimized crystal structure of MnNbNO2.

Cell and atoms, written as POSCAR:
```
MnNbNO2
1.0
3.964 0.000 0.000
0.000 3.964 0.000
0.000 0.000 4.151
Mn Nb N O
1 1 1 2
Direct
0.000 0.000 0.000
0.500 0.500 0.500
0.500 0.500 0.000
0.000 0.500 0.500
0.500 0.000 0.500
```

Calculated values
Crystal system ... tetragonal
Final energy ... -41.862 eV for the cell shown